(1)
! Sm7Ag2Pd2 PBE-GGA optimized geometry; values from VASP
! Space-group type: No. 65
! ΔE_f: -0.212 eV per atom
! Magnetization: 0.00 μB/cell
! D(E_F): 14.74 states/eV per cell
! DFT total energy: -4.678 eV/atom
&SYSTEM
  ibrav = 0, nat = 11, ntyp = 3
/
ATOMIC_SPECIES
Sm 150.36 Sm.upf
Pd 106.42 Pd.upf
Ag 107.87 Ag.upf
CELL_PARAMETERS angstrom
-6.436 2.169 -0.988
-1.888 -6.683 -2.377
0.596 -2.440 6.387
ATOMIC_POSITIONS crystal
Sm 0.000 0.000 0.000
Sm 0.000 0.263 0.500
Sm 0.500 0.737 0.000
Sm 0.000 0.737 0.500
Sm 0.500 0.256 0.500
Sm 0.500 0.744 0.500
Sm 0.500 0.263 0.000
Pd 0.710 0.000 0.290
Pd 0.290 0.000 0.710
Ag 0.176 0.500 0.176
Ag 0.824 0.500 0.824


(2)
! Sm3Ag2Pd PBE-GGA optimized geometry; values from VASP
! Space-group type: No. 123
! ΔE_f: -0.445 eV per atom
! Magnetization: 0.00 μB/cell
! D(E_F): 5.48 states/eV per cell
! DFT total energy: -4.621 eV/atom
&SYSTEM
  ibrav = 0, nat = 6, ntyp = 3
/
ATOMIC_SPECIES
Sm 150.36 Sm.upf
Ag 107.87 Ag.upf
Pd 106.42 Pd.upf
CELL_PARAMETERS angstrom
-3.479 0.917 0.621
0.421 -0.799 3.538
3.121 10.493 1.997
ATOMIC_POSITIONS crystal
Sm 0.000 0.000 0.000
Sm 0.000 0.000 0.344
Sm 0.000 0.000 0.656
Ag 0.500 0.500 0.831
Ag 0.500 0.500 0.169
Pd 0.500 0.500 0.500


(3)
! Sm12Ag6Pd PBE-GGA optimized geometry; values from VASP
! Space-group type: No. 148
! ΔE_f: -0.110 eV per atom
! Magnetization: 0.00 μB/cell
! D(E_F): 21.64 states/eV per cell
! DFT total energy: -4.264 eV/atom
&SYSTEM
  ibrav = 0, nat = 19, ntyp = 3
/
ATOMIC_SPECIES
Pd 106.42 Pd.upf
Sm 150.36 Sm.upf
Ag 107.87 Ag.upf
CELL_PARAMETERS angstrom
-4.335 -2.197 -6.423
6.669 -0.291 -4.508
1.022 -7.770 1.860
ATOMIC_POSITIONS crystal
Pd 0.000 0.000 0.000
Sm 0.997 0.863 0.651
Sm 0.458 0.549 0.196
Sm 0.349 0.003 0.137
Sm 0.196 0.458 0.549
Sm 0.549 0.196 0.458
Sm 0.451 0.804 0.542
Sm 0.542 0.451 0.804
Sm 0.137 0.349 0.003
Sm 0.003 0.137 0.349
Sm 0.863 0.651 0.997
Sm 0.651 0.997 0.863
Sm 0.804 0.542 0.451
Ag 0.738 0.278 0.110
Ag 0.278 0.110 0.738
Ag 0.722 0.890 0.262
Ag 0.890 0.262 0.722
Ag 0.262 0.722 0.890
Ag 0.110 0.738 0.278


(4)
! Sm2AgPd9 PBE-GGA optimized geometry; values from VASP
! Space-group type: No. 123
! ΔE_f: -0.523 eV per atom
! Magnetization: 0.00 μB/cell
! D(E_F): 12.30 states/eV per cell
! DFT total energy: -5.442 eV/atom
&SYSTEM
  ibrav = 0, nat = 12, ntyp = 3
/
ATOMIC_SPECIES
Pd 106.42 Pd.upf
Ag 107.87 Ag.upf
Sm 150.36 Sm.upf
CELL_PARAMETERS angstrom
-2.048 -1.486 3.274
-2.986 -1.396 -2.501
5.932 -10.664 -1.130
ATOMIC_POSITIONS crystal
Pd 0.500 0.500 0.330
Pd 0.500 0.000 0.500
Pd 0.000 0.500 0.158
Pd 0.500 0.500 0.670
Pd 0.000 0.500 0.500
Pd 0.500 0.000 0.842
Pd 0.000 0.500 0.842
Pd 0.500 0.500 0.000
Pd 0.500 0.000 0.158
Ag 0.000 0.000 0.000
Sm 0.000 0.000 0.673
Sm 0.000 0.000 0.327


(5)
! Sm4Ag5Pd2 PBE-GGA optimized geometry; values from VASP
! Space-group type: No. 10
! ΔE_f: -0.419 eV per atom
! Magnetization: 0.00 μB/cell
! D(E_F): 8.19 states/eV per cell
! DFT total energy: -4.375 eV/atom
&SYSTEM
  ibrav = 0, nat = 11, ntyp = 3
/
ATOMIC_SPECIES
Pd 106.42 Pd.upf
Ag 107.87 Ag.upf
Sm 150.36 Sm.upf
CELL_PARAMETERS angstrom
3.798 0.000 0.000
0.000 7.437 -0.088
0.000 -0.833 9.233
ATOMIC_POSITIONS crystal
Pd 0.000 0.927 0.358
Pd 0.000 0.073 0.642
Ag 0.000 0.459 0.684
Ag 0.000 0.172 0.142
Ag 0.000 0.541 0.316
Ag 0.000 0.500 0.000
Ag 0.000 0.828 0.858
Sm 0.500 0.189 0.864
Sm 0.500 0.759 0.565
Sm 0.500 0.241 0.435
Sm 0.500 0.811 0.136


(6)
! Sm6AgPd2 PBE-GGA optimized geometry; values from VASP
! Space-group type: No. 71
! ΔE_f: -0.420 eV per atom
! Magnetization: 0.00 μB/cell
! D(E_F): 19.29 states/eV per cell
! DFT total energy: -5.037 eV/atom
&SYSTEM
  ibrav = 0, nat = 18, ntyp = 3
/
ATOMIC_SPECIES
Ag 107.87 Ag.upf
Sm 150.36 Sm.upf
Pd 106.42 Pd.upf
CELL_PARAMETERS angstrom
-5.448 0.120 6.756
-4.150 -0.334 -7.616
4.973 -7.108 0.285
ATOMIC_POSITIONS crystal
Ag 0.000 0.000 0.000
Ag 0.000 0.500 0.500
Sm 0.300 0.628 0.328
Sm 0.300 0.973 0.672
Sm 0.105 0.284 0.821
Sm 0.700 0.027 0.328
Sm 0.809 0.239 0.048
Sm 0.895 0.716 0.179
Sm 0.538 0.716 0.821
Sm 0.700 0.372 0.672
Sm 0.809 0.761 0.570
Sm 0.462 0.284 0.179
Sm 0.191 0.239 0.430
Sm 0.191 0.761 0.952
Pd 0.655 0.000 0.655
Pd 0.500 0.631 0.131
Pd 0.500 0.369 0.869
Pd 0.345 0.000 0.345


(7)
! SmAg2Pd2 PBE-GGA optimized geometry; values from VASP
! Space-group type: No. 15
! ΔE_f: -0.439 eV per atom
! Magnetization: 0.00 μB/cell
! D(E_F): 4.11 states/eV per cell
! DFT total energy: -4.601 eV/atom
&SYSTEM
  ibrav = 0, nat = 10, ntyp = 3
/
ATOMIC_SPECIES
Pd 106.42 Pd.upf
Ag 107.87 Ag.upf
Sm 150.36 Sm.upf
CELL_PARAMETERS angstrom
-4.976 0.581 2.272
0.586 -7.169 3.117
3.916 6.740 0.192
ATOMIC_POSITIONS crystal
Pd 0.875 0.238 0.398
Pd 0.523 0.738 0.398
Pd 0.477 0.262 0.602
Pd 0.125 0.762 0.602
Ag 0.235 0.270 0.219
Ag 0.765 0.730 0.781
Ag 0.016 0.230 0.781
Ag 0.984 0.770 0.219
Sm 0.629 0.250 0.000
Sm 0.371 0.750 0.000


(8)
! Sm2Ag2Pd15 PBE-GGA optimized geometry; values from VASP
! Space-group type: No. 166
! ΔE_f: -0.318 eV per atom
! Magnetization: 0.00 μB/cell
! D(E_F): 19.72 states/eV per cell
! DFT total energy: -5.215 eV/atom
&SYSTEM
  ibrav = 0, nat = 19, ntyp = 3
/
ATOMIC_SPECIES
Pd 106.42 Pd.upf
Ag 107.87 Ag.upf
Sm 150.36 Sm.upf
CELL_PARAMETERS angstrom
7.001 0.035 0.031
0.943 6.937 0.031
0.943 0.828 6.888
ATOMIC_POSITIONS crystal
Pd 0.000 0.500 0.000
Pd 0.838 0.346 0.346
Pd 0.000 0.688 0.312
Pd 0.000 0.312 0.688
Pd 0.312 0.688 0.000
Pd 0.654 0.654 0.162
Pd 0.688 0.312 0.000
Pd 0.688 0.000 0.312
Pd 0.162 0.654 0.654
Pd 0.000 0.000 0.500
Pd 0.346 0.346 0.838
Pd 0.500 0.000 0.000
Pd 0.654 0.162 0.654
Pd 0.346 0.838 0.346
Pd 0.312 0.000 0.688
Ag 0.901 0.901 0.901
Ag 0.099 0.099 0.099
Sm 0.658 0.658 0.658
Sm 0.342 0.342 0.342